(1)
Computed, not measured: a geometry-optimized Zn3AgPd6 structure at the PBE-GGA level of DFT.

abc: 4.193 8.026 9.064
angles: 98.99 90.00 90.00
Fractional coordinates of all 20 atoms:
Pd: 0.750 0.370 0.309
Pd: 0.250 0.151 0.210
Pd: 0.750 0.176 0.722
Pd: 0.250 0.630 0.691
Pd: 0.750 0.725 0.484
Pd: 0.250 0.459 0.100
Pd: 0.750 0.541 0.900
Pd: 0.250 0.824 0.278
Pd: 0.750 0.934 0.093
Pd: 0.250 0.275 0.516
Pd: 0.250 0.066 0.907
Pd: 0.750 0.849 0.790
Ag: 0.250 0.950 0.597
Ag: 0.750 0.050 0.403
Zn: 0.750 0.452 0.605
Zn: 0.250 0.354 0.810
Zn: 0.750 0.646 0.190
Zn: 0.250 0.548 0.395
Zn: 0.750 0.244 0.024
Zn: 0.250 0.756 0.976

## Properties
Energy relative to the lowest polymorph listed for this composition   0.0 meV per atom
Formation enthalpy at 0 K   -389 meV/atom
DOS(E_F)   6.026 states/eV per cell

=====

(2)
Computed, not measured: a geometry-optimized MnZnS structure at the PBE-GGA level of DFT.

abc: 2.854 2.854 13.467
angles: 83.92 83.92 60.00
Fractional coordinates of all 6 atoms:
Zn: 0.863 0.863 0.410
Zn: 0.137 0.137 0.590
Mn: 0.419 0.419 0.743
Mn: 0.581 0.581 0.257
S: 0.717 0.717 0.848
S: 0.283 0.283 0.152

## Properties
Raw formation energy   -0.19 eV/atom
DOS(E_F)   2.982 states/eV per cell

=====

(3)
Computed, not measured: a geometry-optimized Y2PuTlO8 structure at the PBE-GGA level of DFT.

abc: 5.018 5.019 7.190
angles: 90.00 90.00 93.21
Fractional coordinates of all 12 atoms:
Pu: 0.000 0.000 0.000
Y: 0.500 0.500 0.250
Y: 0.500 0.500 0.750
Tl: 0.000 0.000 0.500
O: 0.706 0.708 0.000
O: 0.812 0.189 0.793
O: 0.188 0.811 0.207
O: 0.294 0.292 0.000
O: 0.812 0.189 0.207
O: 0.299 0.299 0.500
O: 0.188 0.811 0.793
O: 0.701 0.701 0.500

## Properties
Raw formation energy   -2.47 eV/atom

=====

(4)
Computed, not measured: a geometry-optimized CsScTl2 structure at the PBE-GGA level of DFT.

abc: 3.778 3.778 9.155
angles: 90.00 90.00 90.00
Fractional coordinates of all 4 atoms:
Tl: 0.000 0.000 0.183
Tl: 0.000 0.000 0.817
Sc: 0.500 0.500 0.000
Cs: 0.500 0.500 0.500

## Properties
Energy relative to the lowest polymorph listed for this composition   0.0 meV per atom
Formation enthalpy at 0 K   -109 meV/atom
DOS(E_F)   3.376 states/eV per cell

=====

(5)
Computed, not measured: a geometry-optimized Sm2Dy4Tm5 structure at the PBE-GGA level of DFT.

abc: 3.479 8.959 12.467
angles: 111.06 98.02 90.00
Fractional coordinates of all 11 atoms:
Sm: 0.732 0.732 0.464
Sm: 0.268 0.268 0.536
Dy: 0.000 0.693 0.000
Dy: 0.403 0.403 0.806
Dy: 0.000 0.307 0.000
Dy: 0.597 0.597 0.194
Tm: 0.858 0.052 0.716
Tm: 0.858 0.664 0.716
Tm: 0.142 0.948 0.284
Tm: 0.500 0.000 0.000
Tm: 0.142 0.336 0.284

## Properties
Energy relative to the lowest polymorph listed for this composition   213.3 meV per atom
Formation enthalpy at 0 K   235 meV/atom
DOS(E_F)   16.730 states/eV per cell

=====

(6)
Computed, not measured: a geometry-optimized VNi2HRh structure at the PBE-GGA level of DFT.

abc: 3.610 3.610 3.918
angles: 90.00 90.00 90.00
Fractional coordinates of all 5 atoms:
Ni: 0.500 0.000 0.000
Ni: 0.000 0.500 0.000
V: 0.000 0.000 0.500
H: 0.000 0.000 0.000
Rh: 0.500 0.500 0.500

## Properties
Energy relative to the lowest polymorph listed for this composition   0.0 meV per atom
DOS(E_F)   3.314 states/eV per cell

=====

(7)
Computed, not measured: a geometry-optimized K4CdRu structure at the PBE-GGA level of DFT.

abc: 7.085 7.085 7.085
angles: 60.00 60.00 60.00
Fractional coordinates of all 6 atoms:
K: 0.376 0.376 0.873
K: 0.873 0.376 0.376
K: 0.376 0.376 0.376
K: 0.376 0.873 0.376
Ru: 0.750 0.750 0.750
Cd: 0.000 0.000 0.000

## Properties
Formation enthalpy at 0 K   977 meV/atom
DOS(E_F)   8.267 states/eV per cell

=====

(8)
Computed, not measured: a geometry-optimized VPtBr3 structure at the PBE-GGA level of DFT.

abc: 5.047 5.047 5.047
angles: 90.00 90.00 90.00
Fractional coordinates of all 5 atoms:
Br: 0.000 0.000 0.500
Br: 0.000 0.500 0.000
Br: 0.500 0.000 0.000
Pt: 0.500 0.500 0.500
V: 0.000 0.000 0.000

## Properties
Energy relative to the lowest polymorph listed for this composition   0.0 meV per atom
Raw formation energy   0.38 eV/atom
DOS(E_F)   14.324 states/eV per cell

=====

(9)
Computed, not measured: a geometry-optimized RbMgTc3 structure at the PBE-GGA level of DFT.

abc: 4.736 4.736 4.736
angles: 90.00 90.00 90.00
Fractional coordinates of all 5 atoms:
Tc: 0.000 0.000 0.500
Tc: 0.500 0.000 0.000
Tc: 0.000 0.500 0.000
Rb: 0.000 0.000 0.000
Mg: 0.500 0.500 0.500

## Properties
Energy relative to the lowest polymorph listed for this composition   732.1 meV per atom
Formation enthalpy at 0 K   2966 meV/atom
DOS(E_F)   6.343 states/eV per cell

=====

(10)
Computed, not measured: a geometry-optimized PaGaS4 structure at the PBE-GGA level of DFT.

abc: 6.149 6.149 5.514
angles: 123.89 123.89 90.00
Fractional coordinates of all 6 atoms:
S: 0.885 0.383 0.202
S: 0.181 0.115 0.798
S: 0.617 0.683 0.798
S: 0.317 0.819 0.202
Pa: 0.750 0.250 0.500
Ga: 0.500 0.500 0.000

## Properties
Energy relative to the lowest polymorph listed for this composition   158.6 meV per atom
Raw formation energy   -0.94 eV/atom

=====

How do the records compare in magnetic moment? In the order shown, they have 0.00 0.00 0.08 0.04 0.00 0.17 0.35 0.61 0.74 0.00 μB/atom.